Compound: Co2HgAsP
Source: Alexandria
Functional: PBE-GGA
Structure: relaxed

Cell lengths 4.1842, 4.1842, 5.1993 Å; angles 90.00, 90.00, 90.00 degrees
Closest atoms and distances in Å follow each position.
Space group P4/mmm (No. 123)
Symmetry-distinct sites (fractional):
Co1 0.0000 0.5000 0.0000 x2  2 P 2.09
Hg1 0.0000 0.0000 0.5000 x1  2 P 2.60
As1 0.5000 0.5000 0.5000 x1  4 Hg 2.96
P1 0.0000 0.0000 0.0000 x1  4 Co 2.09

Calculated values
Calculated formation energy   0.60 eV per atom
V   18.21 Å³ per atom